(1)
# Th3MgPb4 (PBE, relaxed)
data_Th3MgPb4
_cell_length_a 6.710
_cell_length_b 11.413
_cell_length_c 6.591
_cell_angle_alpha 90.00
_cell_angle_beta 90.00
_cell_angle_gamma 90.00
_space_group_name_H-M_alt 'P m n 21'
_space_group_IT_number 31
loop_
_space_group_symop_operation_xyz
'x,y,z'
'-x+1/2,-y,z+1/2'
'-x,y,z'
'x+1/2,-y,z+1/2'
loop_
_atom_site_label
_atom_site_fract_x
_atom_site_fract_y
_atom_site_fract_z
_atom_site_occupancy
Th1 0.000 0.109 0.000 1
Th2 0.247 0.358 0.525 1
Mg1 0.000 0.847 0.737 1
Pb1 0.000 0.093 0.508 1
Pb2 0.000 0.853 0.243 1
Pb3 0.242 0.359 0.030 1
# DFT formation energy = 0.020 eV/atom
# Fermi-level density of states = 14.2 states/eV/cell

***

(2)
# CsPrPt10 (PBE, relaxed)
data_CsPrPt10
_cell_length_a 4.358
_cell_length_b 5.608
_cell_length_c 9.615
_cell_angle_alpha 90.00
_cell_angle_beta 90.00
_cell_angle_gamma 90.00
_space_group_name_H-M_alt 'P m m m'
_space_group_IT_number 47
loop_
_space_group_symop_operation_xyz
'x,y,z'
'-x,-y,-z'
'-x,-y,z'
'x,y,-z'
'x,-y,-z'
'-x,y,z'
'-x,y,-z'
'x,-y,z'
loop_
_atom_site_label
_atom_site_fract_x
_atom_site_fract_y
_atom_site_fract_z
_atom_site_occupancy
Cs1 0.000 0.000 0.000 1
Pr1 0.000 0.500 0.500 1
Pt1 0.000 0.000 0.339 1
Pt2 0.000 0.500 0.174 1
Pt3 0.500 0.000 0.500 1
Pt4 0.500 0.257 0.262 1
Pt5 0.500 0.500 0.000 1
# DFT formation energy = -0.337 eV/atom
# Fermi-level density of states = 8.1 states/eV/cell

***

(3)
# Ba2CdAg3Pb4 (PBE, relaxed)
data_Ba2CdAg3Pb4
_cell_length_a 4.976
_cell_length_b 4.976
_cell_length_c 12.163
_cell_angle_alpha 90.00
_cell_angle_beta 90.00
_cell_angle_gamma 90.00
_space_group_name_H-M_alt 'P -4 m 2'
_space_group_IT_number 115
loop_
_space_group_symop_operation_xyz
'x,y,z'
'y,-x,-z'
'-x,-y,z'
'-y,x,-z'
'-x,y,z'
'-y,-x,-z'
'x,-y,z'
'y,x,-z'
loop_
_atom_site_label
_atom_site_fract_x
_atom_site_fract_y
_atom_site_fract_z
_atom_site_occupancy
Ba1 0.000 0.500 0.246 1
Cd1 0.500 0.500 0.000 1
Ag1 0.000 0.000 0.000 1
Ag2 0.000 0.500 0.633 1
Pb1 0.000 0.000 0.500 1
Pb2 0.000 0.500 0.866 1
Pb3 0.500 0.500 0.500 1
# DFT formation energy = -0.281 eV/atom
# Fermi-level density of states = 5.0 states/eV/cell

***

(4)
# RbY2Mo (PBE, relaxed)
data_RbY2Mo
_cell_length_a 8.197
_cell_length_b 8.197
_cell_length_c 11.640
_cell_angle_alpha 90.00
_cell_angle_beta 90.00
_cell_angle_gamma 90.00
_space_group_name_H-M_alt 'I -4 2 d'
_space_group_IT_number 122
_space_group_name_Hall 'I -4 2bw'
loop_
_atom_site_label
_atom_site_fract_x
_atom_site_fract_y
_atom_site_fract_z
_atom_site_occupancy
Rb1 0.000 0.000 0.000 1
Y1 0.001 0.250 0.625 1
Mo1 0.000 0.000 0.500 1
# DFT formation energy = 1.026 eV/atom
# Fermi-level density of states = 30.3 states/eV/cell

***

(5)
# Na2GeBr6 (PBE, relaxed)
data_Na2GeBr6
_cell_length_a 6.749
_cell_length_b 6.749
_cell_length_c 12.521
_cell_angle_alpha 90.00
_cell_angle_beta 90.00
_cell_angle_gamma 90.00
_space_group_name_H-M_alt 'P 42/m n m'
_space_group_IT_number 136
_space_group_name_Hall '-P 4n 2n'
loop_
_atom_site_label
_atom_site_fract_x
_atom_site_fract_y
_atom_site_fract_z
_atom_site_occupancy
Na1 0.000 0.000 0.165 1
Ge1 0.000 0.000 0.500 1
Br1 0.183 0.183 0.355 1
Br2 0.233 0.233 0.000 1
# Raw total energy = -2.7902 eV/atom

***

(6)
# HoEr4Zr (PBE, relaxed)
data_HoEr4Zr
_cell_length_a 3.445
_cell_length_b 6.956
_cell_length_c 7.678
_cell_angle_alpha 103.06
_cell_angle_beta 102.94
_cell_angle_gamma 90.15
_space_group_name_H-M_alt 'P -1'
_space_group_IT_number 2
loop_
_space_group_symop_operation_xyz
'x,y,z'
'-x,-y,-z'
loop_
_atom_site_label
_atom_site_fract_x
_atom_site_fract_y
_atom_site_fract_z
_atom_site_occupancy
Ho1 0.000 0.000 0.000 1
Er1 0.338 0.179 0.677 1
Er2 0.340 0.660 0.679 1
Zr1 0.000 0.500 0.000 1
# DFT formation energy = 0.053 eV/atom
# Fermi-level density of states = 7.9 states/eV/cell

***

(7)
# MgBeTl (PBE, relaxed)
data_MgBeTl
_cell_length_a 3.834
_cell_length_b 3.939
_cell_length_c 8.037
_cell_angle_alpha 90.00
_cell_angle_beta 103.49
_cell_angle_gamma 90.00
_space_group_name_H-M_alt 'P 1 21/m 1'
_space_group_IT_number 11
loop_
_space_group_symop_operation_xyz
'x,y,z'
'-x,-y,-z'
'-x,y+1/2,-z'
'x,-y+1/2,z'
loop_
_atom_site_label
_atom_site_fract_x
_atom_site_fract_y
_atom_site_fract_z
_atom_site_occupancy
Mg1 0.079 0.250 0.161 1
Be1 0.470 0.250 0.939 1
Tl1 0.309 0.250 0.608 1
# DFT formation energy = 0.206 eV/atom
# Fermi-level density of states = 1.9 states/eV/cell

***

(8)
# CaZr2NbTl (PBE, relaxed)
data_CaZr2NbTl
_cell_length_a 5.158
_cell_length_b 5.158
_cell_length_c 4.746
_cell_angle_alpha 90.00
_cell_angle_beta 90.00
_cell_angle_gamma 90.00
_space_group_name_H-M_alt 'P 4/m m m'
_space_group_IT_number 123
_space_group_name_Hall '-P 4 2'
loop_
_atom_site_label
_atom_site_fract_x
_atom_site_fract_y
_atom_site_fract_z
_atom_site_occupancy
Ca1 0.000 0.000 0.000 1
Zr1 0.000 0.500 0.000 1
Nb1 0.000 0.000 0.500 1
Tl1 0.500 0.500 0.500 1
# DFT formation energy = 1.683 eV/atom
# Fermi-level density of states = 10.2 states/eV/cell

***

(9)
# TiGeSe3 (PBE, relaxed)
data_TiGeSe3
_cell_length_a 9.678
_cell_length_b 3.656
_cell_length_c 14.399
_cell_angle_alpha 90.00
_cell_angle_beta 90.00
_cell_angle_gamma 90.00
_space_group_name_H-M_alt 'P n m a'
_space_group_IT_number 62
loop_
_space_group_symop_operation_xyz
'x,y,z'
'-x,-y,-z'
'-x+1/2,-y,z+1/2'
'x+1/2,y,-z+1/2'
'x+1/2,-y+1/2,-z+1/2'
'-x+1/2,y+1/2,z+1/2'
'-x,y+1/2,-z'
'x,-y+1/2,z'
loop_
_atom_site_label
_atom_site_fract_x
_atom_site_fract_y
_atom_site_fract_z
_atom_site_occupancy
Ti1 0.148 0.250 0.041 1
Ge1 0.076 0.250 0.635 1
Se1 0.010 0.250 0.890 1
Se2 0.188 0.250 0.475 1
Se3 0.230 0.750 0.701 1
# Raw total energy = -5.3583 eV/atom
# Fermi-level density of states = 1.8 states/eV/cell

***

(10)
# AsPAu2 (PBE, relaxed)
data_AsPAu2
_cell_length_a 5.051
_cell_length_b 5.219
_cell_length_c 2.790
_cell_angle_alpha 90.00
_cell_angle_beta 90.00
_cell_angle_gamma 90.00
_space_group_name_H-M_alt 'P m m 2'
_space_group_IT_number 25
loop_
_space_group_symop_operation_xyz
'x,y,z'
'-x,-y,z'
'-x,y,z'
'x,-y,z'
loop_
_atom_site_label
_atom_site_fract_x
_atom_site_fract_y
_atom_site_fract_z
_atom_site_occupancy
As1 0.000 0.000 0.000 1
P1 0.000 0.500 0.001 1
Au1 0.500 0.000 0.500 1
Au2 0.500 0.500 0.002 1
# DFT formation energy = 0.194 eV/atom
# Fermi-level density of states = 1.9 states/eV/cell

***

(11)
# NiMoP2 (PBE, relaxed)
data_NiMoP2
_cell_length_a 5.301
_cell_length_b 5.301
_cell_length_c 10.164
_cell_angle_alpha 90.00
_cell_angle_beta 90.00
_cell_angle_gamma 90.00
_space_group_name_H-M_alt 'I -4 2 d'
_space_group_IT_number 122
_space_group_name_Hall 'I -4 2bw'
loop_
_atom_site_label
_atom_site_fract_x
_atom_site_fract_y
_atom_site_fract_z
_atom_site_occupancy
Ni1 0.000 0.000 0.000 1
Mo1 0.000 0.000 0.500 1
P1 0.228 0.250 0.125 1
# DFT formation energy = -0.027 eV/atom
# Fermi-level density of states = 10.2 states/eV/cell